The following is a PBEsol calculation of a relaxed structure of SrAgW, from Alexandria via LeMat-Bulk.

**Formation energy**: 6.5 eV per formula unit

Cell: 5.0220 5.0220 5.0220 Å, 60.00 60.00 60.00°
Fractional positions:
Sr (0.0000, 0.0000, 0.0000)
Ag (0.2500, 0.2500, 0.2500)
W (0.7500, 0.7500, 0.7500)